Record 1
# Ho2Tm6Mg (PBE, relaxed)
# ΔH_f (0 K) ... 0.066 eV/atom
# Relative energy among the computed polymorphs ... 36 meV per atom
# N(E_F) ... 15.12 states/eV/f.u.
# Total moment ... 1.83 μB/f.u.
data_Ho2Tm6Mg
_symmetry_space_group_name_H-M 'P -6 m 2'
_symmetry_Int_Tables_number 187
_symmetry_space_group_name_Hall 'P -6 2'
_cell_length_a 3.5013
_cell_length_b 3.5013
_cell_length_c 25.6526
_cell_angle_alpha 90.00
_cell_angle_beta 90.00
_cell_angle_gamma 120.00
loop_
_atom_site_label
_atom_site_type_symbol
_atom_site_fract_x
_atom_site_fract_y
_atom_site_fract_z
_atom_site_occupancy
Ho1 Ho 0.0000 0.0000 0.1733 1
Tm1 Tm 0.0000 0.0000 0.3925 1
Tm2 Tm 0.6667 0.3333 0.0649 1
Tm3 Tm 0.6667 0.3333 0.2838 1
Mg1 Mg 0.6667 0.3333 0.5000 1

Record 2
# Ho2Tm7Mg2 (PBE, relaxed)
# ΔH_f (0 K) ... 0.148 eV/atom
# Relative energy among the computed polymorphs ... 34 meV per atom
# N(E_F) ... 15.17 states/eV/f.u.
# Total moment ... 0.00 μB/f.u.
data_Ho2Tm7Mg2
_symmetry_space_group_name_H-M 'C 1 2/m 1'
_symmetry_Int_Tables_number 12
_cell_length_a 9.2494
_cell_length_b 9.2200
_cell_length_c 7.9798
_cell_angle_alpha 90.00
_cell_angle_beta 104.13
_cell_angle_gamma 90.00
loop_
_symmetry_equiv_pos_as_xyz
'x,y,z'
'-x,-y,-z'
'-x,y,-z'
'x,-y,z'
'x+1/2,y+1/2,z'
'-x+1/2,-y+1/2,-z'
'-x+1/2,y+1/2,-z'
'x+1/2,-y+1/2,z'
loop_
_atom_site_label
_atom_site_type_symbol
_atom_site_fract_x
_atom_site_fract_y
_atom_site_fract_z
_atom_site_occupancy
Ho1 Ho 0.0000 0.1797 0.0000 1
Tm1 Tm 0.0000 0.0000 0.5000 1
Tm2 Tm 0.1890 0.2960 0.6793 1
Tm3 Tm 0.1922 0.5000 0.0298 1
Mg1 Mg 0.0935 0.5000 0.3534 1

Record 3
# Ho4TmMg7 (PBE, relaxed)
# ΔH_f (0 K) ... 0.165 eV/atom
# Relative energy among the computed polymorphs ... 184 meV per atom
# N(E_F) ... 12.74 states/eV/f.u.
# Total moment ... 0.00 μB/f.u.
data_Ho4TmMg7
_symmetry_space_group_name_H-M 'C 1 2/m 1'
_symmetry_Int_Tables_number 12
_cell_length_a 11.4054
_cell_length_b 5.6198
_cell_length_c 11.5252
_cell_angle_alpha 90.00
_cell_angle_beta 115.45
_cell_angle_gamma 90.00
loop_
_symmetry_equiv_pos_as_xyz
'x,y,z'
'-x,-y,-z'
'-x,y,-z'
'x,-y,z'
'x+1/2,y+1/2,z'
'-x+1/2,-y+1/2,-z'
'-x+1/2,y+1/2,-z'
'x+1/2,-y+1/2,z'
loop_
_atom_site_label
_atom_site_type_symbol
_atom_site_fract_x
_atom_site_fract_y
_atom_site_fract_z
_atom_site_occupancy
Ho1 Ho 0.0676 0.0000 0.3247 1
Ho2 Ho 0.1619 0.5000 0.7790 1
Tm1 Tm 0.0000 0.5000 0.0000 1
Mg1 Mg 0.0000 0.0000 0.0000 1
Mg2 Mg 0.1263 0.5000 0.4955 1
Mg3 Mg 0.2026 0.0000 0.9230 1
Mg4 Mg 0.2504 0.0000 0.6813 1